Density functional theory data (GGA-PBE) for a relaxed CsMg3In crystal.

Results
- Energy relative to the lowest polymorph listed for this composition: 0.858 eV/atom
- DFT formation energy: 110 kJ/mol of atoms

Cell: 6.743 6.743 6.743 Å, 90.00 90.00 90.00°
Space group Pm-3m (No. 221)
Symmetry-distinct sites (fractional):
Cs1 0.000 0.000 0.000
Mg1 0.000 0.000 0.500
In1 0.500 0.500 0.500



Density functional theory data (GGA-PBE) for a relaxed CsW crystal.

Results
- Energy relative to the lowest polymorph listed for this composition: 3.165 eV/atom
- DFT formation energy: 423 kJ/mol of atoms

Cell: 6.409 6.409 6.409 Å, 90.00 90.00 90.00°
Space group F-43m (No. 216)
Symmetry-distinct sites (fractional):
Cs1 0.000 0.000 0.000
W1 0.250 0.250 0.750



Density functional theory data (GGA-PBE) for a relaxed ScTlOs3 crystal.

Results
- Energy relative to the lowest polymorph listed for this composition: 0.000 eV/atom
- DFT formation energy: 211 kJ/mol of atoms

Cell: 4.718 4.718 4.718 Å, 90.00 90.00 90.00°
Space group Pm-3m (No. 221)
Symmetry-distinct sites (fractional):
Sc1 0.000 0.000 0.000
Tl1 0.500 0.500 0.500
Os1 0.000 0.000 0.500



Density functional theory data (GGA-PBE) for a relaxed ScSnAu crystal.

Results
- DFT formation energy: -67 kJ/mol of atoms

Cell: 4.5887 4.5887 7.1648 Å, 90.00 90.00 120.00°
Space group P6_3mc (No. 186)
Symmetry-distinct sites (fractional):
Sc1 0.0000 0.0000 0.0000
Sn1 0.3333 0.6667 0.2699
Au1 0.3333 0.6667 0.6627